This record from the Alexandria database describes an optimized crystal structure of CdSbO2. The functional is GGA-PBE.

Output
The space-group type is No. 122. The calculation puts the raw formation energy at -0.73 eV/atom. As for the excess energy over the best structure of this formula in the dataset: 98 meV/atom. The total moment comes out at 0.00 Bohr magnetons per cell.

Structure (POSCAR):
```
CdSbO2
1.0
-3.523 -1.892 3.002
2.968 -3.889 1.031
1.994 0.039 6.529
Sb O Cd
2 4 2
direct
0.000 0.000 0.000 Sb
0.750 0.250 0.500 Sb
0.637 0.125 0.250 O
0.113 0.625 0.250 O
0.375 0.363 0.750 O
0.875 0.887 0.750 O
0.500 0.500 0.000 Cd
0.250 0.750 0.500 Cd
```